DFT (PBE-GGA) results for Eu2HfZrO6 after structural relaxation.

Total moment: 56.0 μB/cell
ΔE_f (raw): -3.214 eV/atom

The structure in CIF format:
```
data_Eu2HfZrO6
_chemical_formula_sum 'Eu8 Hf4 Zr4 O24'
_space_group_name_H-M_alt 'F m -3 m'
_space_group_IT_number 225
_space_group_name_Hall '-F 4 2 3'
_cell_length_a 8.323
_cell_length_b 8.323
_cell_length_c 8.323
_cell_angle_alpha 90.00
_cell_angle_beta 90.00
_cell_angle_gamma 90.00
loop_
_atom_site_label
_atom_site_type_symbol
_atom_site_fract_x
_atom_site_fract_y
_atom_site_fract_z
Eu1 Eu 0.250 0.250 0.250
Hf1 Hf 0.000 0.000 0.000
Zr1 Zr 0.000 0.000 0.500
O1 O 0.000 0.000 0.248
```